{
  "formula": "DyGa2H6",
  "functional": "PBE-GGA",
  "state": "relaxed",
  "lattice": [[4.554, 0.000, 2.629], [1.518, 4.294, 2.629], [0.000, 0.000, 5.258]],
  "species": ["H", "H", "Dy", "H", "H", "Ga", "H", "H", "Ga"],
  "fractional_positions": [[0.721, 0.279, 0.279], [0.721, 0.279, 0.721], [0.000, 0.000, 0.000], [0.279, 0.721, 0.721], [0.279, 0.721, 0.279], [0.250, 0.250, 0.250], [0.721, 0.721, 0.279], [0.279, 0.279, 0.721], [0.750, 0.750, 0.750]],
  "e_tot_ev_per_atom": -2.96,
  "dos_ef_per_ev_atom": 0.346
}